No. 1
The following is a GGA-PBEsol calculation of an optimized crystal structure of Ca2GaAg, from Alexandria.

The calculation puts the total magnetic moment at 0.00 μB/atom. For the calculated volume, the calculation gives 204.4 Å³ per cell. Its theoretical density is 4.189 g/cm³. The formation energy is -360 meV per atom.

```
data_Ca2GaAg
_cell_length_a 4.524
_cell_length_b 4.059
_cell_length_c 11.128
_cell_angle_alpha 90.00
_cell_angle_beta 90.00
_cell_angle_gamma 90.00
_symmetry_space_group_name_H-M 'A m m 2'
_symmetry_Int_Tables_number 38
_symmetry_space_group_name_Hall 'A 2 -2'
loop_
_atom_site_label
_atom_site_fract_x
_atom_site_fract_y
_atom_site_fract_z
Ca1 0.000 0.000 0.000
Ca2 0.500 0.000 0.291
Ga1 0.000 0.000 0.713
Ag1 0.500 0.000 0.583
```

***

No. 2
The following is a GGA-PBEsol calculation of an optimized crystal structure of Ca2Ga7Ag, from Alexandria.

The calculation puts the total magnetic moment at 0.00 μB/atom. For the calculated volume, the calculation gives 193.5 Å³ per cell. Its theoretical density is 5.802 g/cm³. The formation energy is -404 meV per atom.

```
data_Ca2Ga7Ag
_cell_length_a 4.212
_cell_length_b 4.212
_cell_length_c 10.904
_cell_angle_alpha 90.00
_cell_angle_beta 90.00
_cell_angle_gamma 90.00
_symmetry_space_group_name_H-M 'P -4 m 2'
_symmetry_Int_Tables_number 115
_symmetry_space_group_name_Hall 'P -4 -2'
loop_
_atom_site_label
_atom_site_fract_x
_atom_site_fract_y
_atom_site_fract_z
Ca1 0.000 0.500 0.249
Ga1 0.000 0.000 0.000
Ga2 0.000 0.000 0.500
Ga3 0.000 0.500 0.638
Ga4 0.000 0.500 0.862
Ga5 0.500 0.500 0.500
Ag1 0.500 0.500 0.000
```

***

No. 3
The following is a GGA-PBEsol calculation of an optimized crystal structure of Ca2GaAgW, from Alexandria.

The calculation puts the total magnetic moment at 0.81 μB/atom. For the calculated volume, the calculation gives 138.6 Å³ per cell. Its theoretical density is 5.292 g/cm³. The formation energy is 1088 meV per atom.

```
data_Ca2GaAgW
_cell_length_a 5.434
_cell_length_b 5.434
_cell_length_c 4.693
_cell_angle_alpha 90.00
_cell_angle_beta 90.00
_cell_angle_gamma 90.00
_symmetry_space_group_name_H-M 'P 4/m m m'
_symmetry_Int_Tables_number 123
_symmetry_space_group_name_Hall '-P 4 2'
loop_
_atom_site_label
_atom_site_fract_x
_atom_site_fract_y
_atom_site_fract_z
Ca1 0.000 0.500 0.000
Ga1 0.000 0.000 0.500
Ag1 0.000 0.000 0.000
W1 0.500 0.500 0.500
```

***

No. 4
The following is a GGA-PBEsol calculation of an optimized crystal structure of CaAgGe, from Alexandria.

The calculation puts the total magnetic moment at 0.00 μB/atom. For the calculated volume, the calculation gives 251.8 Å³ per cell. Its theoretical density is 5.818 g/cm³. The formation energy is -476 meV per atom.

```
data_CaAgGe
_cell_length_a 10.561
_cell_length_b 4.469
_cell_length_c 7.220
_cell_angle_alpha 90.00
_cell_angle_beta 132.36
_cell_angle_gamma 90.00
_symmetry_space_group_name_H-M 'C 1 2/m 1'
_symmetry_Int_Tables_number 12
_symmetry_space_group_name_Hall '-C 2y'
loop_
_atom_site_label
_atom_site_fract_x
_atom_site_fract_y
_atom_site_fract_z
Ca1 0.049 0.000 0.295
Ag1 0.173 0.500 0.108
Ge1 0.154 0.500 0.705
```

***

No. 5
The following is a GGA-PBEsol calculation of an optimized crystal structure of Ca2AgGe2, from Alexandria.

The calculation puts the total magnetic moment at 0.00 μB/atom. For the calculated volume, the calculation gives 221.0 Å³ per cell. Its theoretical density is 5.009 g/cm³. The formation energy is -517 meV per atom.

```
data_Ca2AgGe2
_cell_length_a 6.998
_cell_length_b 6.998
_cell_length_c 4.514
_cell_angle_alpha 90.00
_cell_angle_beta 90.00
_cell_angle_gamma 90.00
_symmetry_space_group_name_H-M 'P 4/m b m'
_symmetry_Int_Tables_number 127
_symmetry_space_group_name_Hall '-P 4 2ab'
loop_
_atom_site_label
_atom_site_fract_x
_atom_site_fract_y
_atom_site_fract_z
Ca1 0.169 0.331 0.000
Ag1 0.000 0.000 0.500
Ge1 0.133 0.633 0.500
```

***

No. 6
The following is a GGA-PBEsol calculation of an optimized crystal structure of CaAgGe, from Alexandria.

The calculation puts the total magnetic moment at 0.00 μB/atom. For the calculated volume, the calculation gives 247.8 Å³ per cell. Its theoretical density is 5.912 g/cm³. The formation energy is -523 meV per atom.

```
data_CaAgGe
_cell_length_a 4.547
_cell_length_b 6.951
_cell_length_c 7.842
_cell_angle_alpha 90.00
_cell_angle_beta 90.00
_cell_angle_gamma 90.00
_symmetry_space_group_name_H-M 'I m m 2'
_symmetry_Int_Tables_number 44
_symmetry_space_group_name_Hall 'I 2 -2'
loop_
_atom_site_label
_atom_site_fract_x
_atom_site_fract_y
_atom_site_fract_z
Ca1 0.000 0.000 0.000
Ca2 0.000 0.500 0.064
Ag1 0.000 0.282 0.696
Ge1 0.000 0.194 0.366
```

***

No. 7
The following is a GGA-PBEsol calculation of an optimized crystal structure of CaAgGe, from Alexandria.

The calculation puts the total magnetic moment at 0.00 μB/atom. For the calculated volume, the calculation gives 249.7 Å³ per cell. Its theoretical density is 5.867 g/cm³. The formation energy is -500 meV per atom.

```
data_CaAgGe
_cell_length_a 7.164
_cell_length_b 4.481
_cell_length_c 7.780
_cell_angle_alpha 90.00
_cell_angle_beta 90.00
_cell_angle_gamma 90.00
_symmetry_space_group_name_H-M 'P n m a'
_symmetry_Int_Tables_number 62
_symmetry_space_group_name_Hall '-P 2ac 2n'
loop_
_atom_site_label
_atom_site_fract_x
_atom_site_fract_y
_atom_site_fract_z
Ca1 0.002 0.250 0.204
Ag1 0.187 0.250 0.579
Ge1 0.203 0.750 0.406
```

***

No. 8
The following is a GGA-PBEsol calculation of an optimized crystal structure of Ca2Ag2Ge, from Alexandria.

The calculation puts the total magnetic moment at 0.00 μB/atom. For the calculated volume, the calculation gives 250.5 Å³ per cell. Its theoretical density is 4.886 g/cm³. The formation energy is -165 meV per atom.

```
data_Ca2Ag2Ge
_cell_length_a 5.769
_cell_length_b 5.769
_cell_length_c 7.528
_cell_angle_alpha 90.00
_cell_angle_beta 90.00
_cell_angle_gamma 90.00
_symmetry_space_group_name_H-M 'I 4/m m m'
_symmetry_Int_Tables_number 139
_symmetry_space_group_name_Hall '-I 4 2'
loop_
_atom_site_label
_atom_site_fract_x
_atom_site_fract_y
_atom_site_fract_z
Ca1 0.000 0.500 0.250
Ag1 0.000 0.000 0.168
Ge1 0.000 0.000 0.500
```

***

No. 9
The following is a GGA-PBEsol calculation of an optimized crystal structure of Ca3Ag2Ge3O12, from Alexandria.

The calculation puts the total magnetic moment at 0.15 μB/atom. The value obtained for the raw formation energy is -1.717 eV/atom. For the calculated volume, the calculation gives 1977.7 Å³ per cell. Its theoretical density is 5.010 g/cm³.

```
data_Ca3Ag2Ge3O12
_cell_length_a 12.552
_cell_length_b 12.552
_cell_length_c 12.552
_cell_angle_alpha 90.00
_cell_angle_beta 90.00
_cell_angle_gamma 90.00
_symmetry_space_group_name_H-M 'I a -3 d'
_symmetry_Int_Tables_number 230
_symmetry_space_group_name_Hall '-I 4bd 2c 3'
loop_
_atom_site_label
_atom_site_fract_x
_atom_site_fract_y
_atom_site_fract_z
Ca1 0.000 0.250 0.125
Ag1 0.000 0.000 0.000
Ge1 0.000 0.250 0.375
O1 0.034 0.058 0.659
```

***

No. 10
The following is a GGA-PBEsol calculation of an optimized crystal structure of Ca2AgH2, from Alexandria.

The calculation puts the total magnetic moment at 0.00 μB/atom. Its electronic total energy is -32.6 eV/cell. For the calculated volume, the calculation gives 172.0 Å³ per cell. Its theoretical density is 3.669 g/cm³.

```
data_Ca2AgH2
_cell_length_a 3.715
_cell_length_b 3.715
_cell_length_c 12.461
_cell_angle_alpha 90.00
_cell_angle_beta 90.00
_cell_angle_gamma 90.00
_symmetry_space_group_name_H-M 'I 4/m m m'
_symmetry_Int_Tables_number 139
_symmetry_space_group_name_Hall '-I 4 2'
loop_
_atom_site_label
_atom_site_fract_x
_atom_site_fract_y
_atom_site_fract_z
Ca1 0.000 0.000 0.148
Ag1 0.000 0.000 0.500
H1 0.000 0.500 0.250
```

***

No. 11
The following is a GGA-PBEsol calculation of an optimized crystal structure of Ca2AgHg, from Alexandria.

The calculation puts the total magnetic moment at 0.00 μB/atom. For the calculated volume, the calculation gives 99.3 Å³ per cell. Its theoretical density is 6.500 g/cm³. The formation energy is -442 meV per atom.

```
data_Ca2AgHg
_cell_length_a 3.701
_cell_length_b 3.701
_cell_length_c 7.250
_cell_angle_alpha 90.00
_cell_angle_beta 90.00
_cell_angle_gamma 90.00
_symmetry_space_group_name_H-M 'P 4/m m m'
_symmetry_Int_Tables_number 123
_symmetry_space_group_name_Hall '-P 4 2'
loop_
_atom_site_label
_atom_site_fract_x
_atom_site_fract_y
_atom_site_fract_z
Ca1 0.000 0.000 0.247
Ag1 0.500 0.500 0.000
Hg1 0.500 0.500 0.500
```

***

No. 12
The following is a GGA-PBEsol calculation of an optimized crystal structure of Ca2AgHg, from Alexandria.

The calculation puts the total magnetic moment at 0.00 μB/atom. For the calculated volume, the calculation gives 342.4 Å³ per cell. Its theoretical density is 5.653 g/cm³. The formation energy is -270 meV per atom.

```
data_Ca2AgHg
_cell_length_a 4.2032
_cell_length_b 4.2032
_cell_length_c 22.3810
_cell_angle_alpha 90.00
_cell_angle_beta 90.00
_cell_angle_gamma 120.00
_symmetry_space_group_name_H-M 'R -3 m'
_symmetry_Int_Tables_number 166
_symmetry_space_group_name_Hall '-R 3 2"'
loop_
_atom_site_label
_atom_site_fract_x
_atom_site_fract_y
_atom_site_fract_z
Ca1 0.0000 0.0000 0.2454
Ag1 0.0000 0.0000 0.5000
Hg1 0.0000 0.0000 0.0000
```